La2TbDy2Er2: optimized geometry, PBE.

crystal system	monoclinic

a b c (Å): 3.4853 9.2829 8.5513
angles (deg): 119.14 90.00 100.82
With the nearest neighbours (Å) after each atom.
Element x y z (fractional)
La: 0.6475 0.2950 0.9159  4 La 3.49-3.71, 2 Dy 3.50-3.67, 3 Er 3.50-3.70, 2 Tb 3.67
La: 0.3525 0.7050 0.0841  4 La 3.49-3.71, 2 Dy 3.50-3.67, 3 Er 3.50-3.70, 2 Tb 3.67
Tb: 0.0000 0.0000 0.5000  2 Er 3.46, 2 Tb 3.49, 4 Dy 3.54, 4 La 3.67
Dy: 0.4306 0.8611 0.7628  3 Er 3.47-3.56, 3 Dy 3.49-3.56, 2 La 3.50-3.67, 2 Tb 3.54
Dy: 0.5694 0.1389 0.2372  3 Er 3.47-3.56, 3 Dy 3.49-3.56, 2 La 3.50-3.67, 2 Tb 3.54
Er: 0.7888 0.5775 0.3795  1 Tb 3.46, 3 Dy 3.47-3.56, 4 Er 3.49, 3 La 3.50-3.70
Er: 0.2112 0.4225 0.6205  1 Tb 3.46, 3 Dy 3.47-3.56, 4 Er 3.49, 3 La 3.50-3.70

=====

La4TbDy2Er: optimized geometry, PBE.

crystal system	orthorhombic

a b c (Å): 5.2559 5.2223 11.2289
angles (deg): 62.27 90.00 90.00
With the nearest neighbours (Å) after each atom.
Element x y z (fractional)
La: 0.0000 0.7512 0.7490  2 Er 3.60, 4 Dy 3.61, 2 Tb 3.62, 4 La 3.70
La: 0.0000 0.2488 0.2510  2 Er 3.60, 4 Dy 3.61, 2 Tb 3.62, 4 La 3.70
La: 0.5000 0.7488 0.2510  4 Dy 3.60-3.62, 2 Er 3.61, 2 Tb 3.61, 4 La 3.70
La: 0.5000 0.2512 0.7490  4 Dy 3.60-3.62, 2 Er 3.61, 2 Tb 3.61, 4 La 3.70
Tb: 0.5000 0.5000 0.0000  8 La 3.61-3.62, 4 Dy 3.70
Dy: 0.0000 0.0000 0.0000  8 La 3.61-3.62, 4 Tb 3.70
Dy: 0.5000 0.0000 0.5000  8 La 3.60-3.61, 4 Er 3.70
Er: 0.0000 0.5000 0.5000  8 La 3.60-3.61, 4 Dy 3.70

=====

LaTb2Dy2Er: optimized geometry, PBE.

crystal system	orthorhombic

a b c (Å): 3.5280 16.1833 6.9353
angles (deg): 90.00 90.00 90.00
With the nearest neighbours (Å) after each atom.
Element x y z (fractional)
La: 0.0000 0.0000 0.0000  2 Er 3.47, 2 La 3.53, 4 Dy 3.55, 4 Tb 3.56
La: 0.5000 0.5000 0.5000  2 Er 3.47, 2 La 3.53, 4 Dy 3.55, 4 Tb 3.56
Tb: 0.5000 0.8422 0.2511  4 Dy 3.45-3.48, 2 Tb 3.53, 2 Er 3.55, 2 La 3.56
Tb: 0.5000 0.1578 0.7489  4 Dy 3.45-3.48, 2 Tb 3.53, 2 Er 3.55, 2 La 3.56
Tb: 0.0000 0.6578 0.7511  4 Dy 3.45-3.48, 2 Tb 3.53, 2 Er 3.55, 2 La 3.56
Tb: 0.0000 0.3422 0.2489  4 Dy 3.45-3.48, 2 Tb 3.53, 2 Er 3.55, 2 La 3.56
Dy: 0.5000 0.1566 0.2513  4 Tb 3.45-3.48, 2 Dy 3.53, 2 Er 3.54, 2 La 3.55
Dy: 0.0000 0.6566 0.2487  4 Tb 3.45-3.48, 2 Dy 3.53, 2 Er 3.54, 2 La 3.55
Dy: 0.5000 0.8434 0.7487  4 Tb 3.45-3.48, 2 Dy 3.53, 2 Er 3.54, 2 La 3.55
Dy: 0.0000 0.3434 0.7513  4 Tb 3.45-3.48, 2 Dy 3.53, 2 Er 3.54, 2 La 3.55
Er: 0.5000 0.5000 0.0000  2 La 3.47, 2 Er 3.53, 4 Dy 3.54, 4 Tb 3.55
Er: 0.0000 0.0000 0.5000  2 La 3.47, 2 Er 3.53, 4 Dy 3.54, 4 Tb 3.55

=====

Values for calculated volume, Å³/cell, ordered as above
236 273 396
Values for ΔH_f (0 K), eV/atom, ordered as above
0.149 0.021 0.162